Entry 1:
Computed, not measured: an optimized crystal structure of KRb3Nb2O5 at the PBE-GGA level of DFT.

Unit cell a=6.1373 b=6.1373 c=7.8129 alpha=97.81 beta=97.81 gamma=67.10
Fractional coordinates of all 11 atoms:
K1 0.6723 0.6723 0.1286
Nb1 0.3954 0.3954 0.3166
Nb2 0.6192 0.6192 0.6793
O1 0.5742 0.1188 0.1949
O2 0.1188 0.5742 0.1949
O3 0.5811 0.5811 0.4275
O4 0.8242 0.3748 0.8051
O5 0.3748 0.8242 0.8051
Rb1 0.0002 0.0002 0.0232
Rb2 0.9820 0.9820 0.5131
Rb3 0.3147 0.3147 0.8403

## Properties
mass density = 3.48 g/cm3
energy = -6.160 eV per atom
space-group type = No. 8

Entry 2:
Computed, not measured: an optimized crystal structure of K2RbTbNb2O8 at the PBE-GGA level of DFT.

Unit cell a=6.0495 b=6.0495 c=7.6332 alpha=90.00 beta=90.00 gamma=120.00
Fractional coordinates of all 14 atoms:
K1 0.3333 0.6667 0.1577
K2 0.6667 0.3333 0.8423
Nb1 0.6667 0.3333 0.2806
Nb2 0.3333 0.6667 0.7194
O1 0.3366 0.1683 0.1827
O2 0.8317 0.1683 0.1827
O3 0.8317 0.6634 0.1827
O4 0.3333 0.6667 0.4805
O5 0.6667 0.3333 0.5195
O6 0.1683 0.3366 0.8173
O7 0.1683 0.8317 0.8173
O8 0.6634 0.8317 0.8173
Rb1 0.0000 0.0000 0.5000
Tb1 0.0000 0.0000 0.0000

## Properties
mass density = 4.37 g/cm3
energy = -7.386 eV per atom
space-group type = No. 164

Entry 3:
Computed, not measured: an optimized crystal structure of KNbSO at the PBE-GGA level of DFT.

Unit cell a=7.2334 b=8.6766 c=5.6715 alpha=90.00 beta=90.00 gamma=90.00
Fractional coordinates of all 16 atoms:
K1 0.3829 0.1350 0.0248
K2 0.8829 0.8650 0.0248
K3 0.1171 0.1350 0.5248
K4 0.6171 0.8650 0.5248
Nb1 0.8563 0.3421 0.0329
Nb2 0.3563 0.6579 0.0329
Nb3 0.6437 0.3421 0.5329
Nb4 0.1437 0.6579 0.5329
O1 0.9784 0.1533 0.0478
O2 0.4784 0.8467 0.0478
O3 0.5216 0.1533 0.5478
O4 0.0216 0.8467 0.5478
S1 0.5596 0.4446 0.1445
S2 0.0596 0.5554 0.1445
S3 0.9404 0.4446 0.6445
S4 0.4404 0.5554 0.6445

## Properties
mass density = 3.36 g/cm3
energy = -6.400 eV per atom
space-group type = No. 29

Entry 4:
Computed, not measured: an optimized crystal structure of KNbSO at the PBE-GGA level of DFT.

Unit cell a=5.1933 b=5.1943 c=13.3520 alpha=85.96 beta=89.95 gamma=89.81
Fractional coordinates of all 16 atoms:
K1 0.3871 0.1925 0.3247
K2 0.8875 0.6917 0.3314
K3 0.3878 0.3082 0.6705
K4 0.8874 0.8073 0.6756
Nb1 0.0827 0.9324 0.0725
Nb2 0.6929 0.5428 0.0731
Nb3 0.1868 0.4625 0.9284
Nb4 0.5878 0.0618 0.9285
O1 0.3875 0.2423 0.0437
O2 0.8875 0.7587 0.9513
O3 0.8869 0.2504 0.9997
O4 0.3877 0.7493 0.9998
S1 0.3879 0.7140 0.2077
S2 0.8877 0.2139 0.2077
S3 0.3872 0.7863 0.7927
S4 0.8876 0.2859 0.7927

## Properties
mass density = 3.33 g/cm3
energy = -6.342 eV per atom
space-group type = No. 1

Entry 5:
Computed, not measured: an optimized crystal structure of KNbSO at the PBE-GGA level of DFT.

Unit cell a=4.1072 b=7.4099 c=6.2917 alpha=90.00 beta=90.00 gamma=90.00
Fractional coordinates of all 8 atoms:
K1 0.0000 0.3312 0.1125
K2 0.0000 0.6688 0.6125
Nb1 0.5000 0.9100 0.0329
Nb2 0.5000 0.0900 0.5329
O1 0.5000 0.1251 0.2198
O2 0.5000 0.8749 0.7198
S1 0.0000 0.7554 0.1258
S2 0.0000 0.2446 0.6258

## Properties
mass density = 3.12 g/cm3
energy = -6.384 eV per atom
space-group type = No. 26

Entry 6:
Computed, not measured: an optimized crystal structure of K7NbS6O24 at the PBE-GGA level of DFT.

Unit cell a=9.1715 b=9.1715 c=9.1715 alpha=109.53 beta=109.53 gamma=109.53
Fractional coordinates of all 38 atoms:
K1 0.3127 0.6564 0.1610
K2 0.6564 0.1610 0.3127
K3 0.8390 0.6873 0.3436
K4 0.5000 0.5000 0.5000
K5 0.1610 0.3127 0.6564
K6 0.3436 0.8390 0.6873
K7 0.6873 0.3436 0.8390
Nb1 0.0000 0.0000 0.0000
O1 0.6925 0.6414 0.0215
O2 0.2427 0.1031 0.0268
O3 0.5618 0.8294 0.0925
O4 0.0268 0.2427 0.1031
O5 0.9075 0.4382 0.1706
O6 0.5361 0.3669 0.2179
O7 0.1031 0.0268 0.2427
O8 0.3586 0.9785 0.3075
O9 0.9785 0.3075 0.3586
O10 0.2179 0.5361 0.3669
O11 0.1706 0.9075 0.4382
O12 0.6331 0.7821 0.4639
O13 0.3669 0.2179 0.5361
O14 0.8294 0.0925 0.5618
O15 0.7821 0.4639 0.6331
O16 0.0215 0.6925 0.6414
O17 0.6414 0.0215 0.6925
O18 0.8969 0.9732 0.7573
O19 0.4639 0.6331 0.7821
O20 0.0925 0.5618 0.8294
O21 0.9732 0.7573 0.8969
O22 0.4382 0.1706 0.9075
O23 0.7573 0.8969 0.9732
O24 0.3075 0.3586 0.9785
S1 0.3885 0.2589 0.0315
S2 0.0315 0.3885 0.2589
S3 0.2589 0.0315 0.3885
S4 0.7411 0.9685 0.6115
S5 0.9685 0.6115 0.7411
S6 0.6115 0.7411 0.9685

## Properties
mass density = 2.64 g/cm3
energy = -6.056 eV per atom
space-group type = No. 148

Entry 7:
Computed, not measured: an optimized crystal structure of KNbSO at the PBE-GGA level of DFT.

Unit cell a=7.7814 b=6.2751 c=5.8683 alpha=90.00 beta=104.66 gamma=90.00
Fractional coordinates of all 16 atoms:
K1 0.0917 0.7556 0.0261
K2 0.9083 0.2556 0.4739
K3 0.0917 0.7444 0.5261
K4 0.9083 0.2444 0.9739
Nb1 0.4874 0.1183 0.2292
Nb2 0.5126 0.6183 0.2708
Nb3 0.4874 0.3817 0.7292
Nb4 0.5126 0.8817 0.7708
O1 0.6364 0.3700 0.1184
O2 0.3636 0.8700 0.3816
O3 0.6364 0.1300 0.6184
O4 0.3636 0.6300 0.8816
S1 0.7344 0.8804 0.1604
S2 0.2656 0.3804 0.3396
S3 0.7344 0.6196 0.6604
S4 0.2656 0.1196 0.8396

## Properties
mass density = 4.31 g/cm3
energy = -6.496 eV per atom
space-group type = No. 14

Entry 8:
Computed, not measured: an optimized crystal structure of KNbSO at the PBE-GGA level of DFT.

Unit cell a=3.7063 b=3.7063 c=9.2881 alpha=90.00 beta=90.00 gamma=90.00
Fractional coordinates of all 8 atoms:
K1 0.7500 0.2500 0.5000
K2 0.2500 0.7500 0.5000
Nb1 0.2500 0.2500 0.1224
Nb2 0.7500 0.7500 0.8776
O1 0.7500 0.2500 0.0000
O2 0.2500 0.7500 0.0000
S1 0.7500 0.7500 0.2494
S2 0.2500 0.2500 0.7506

## Properties
mass density = 4.69 g/cm3
energy = -5.886 eV per atom
space-group type = No. 129

Entry 9:
Computed, not measured: an optimized crystal structure of K4Nb2S10O at the PBE-GGA level of DFT.

Unit cell a=12.8864 b=7.6414 c=18.0872 alpha=90.00 beta=90.00 gamma=90.00
Fractional coordinates of all 68 atoms:
K1 0.9022 0.1428 0.0350
K2 0.4022 0.8572 0.0350
K3 0.2599 0.1868 0.2003
K4 0.7599 0.8132 0.2003
K5 0.9403 0.2107 0.3355
K6 0.4403 0.7893 0.3355
K7 0.2353 0.3330 0.4680
K8 0.7353 0.6670 0.4680
K9 0.5978 0.1428 0.5350
K10 0.0978 0.8572 0.5350
K11 0.2401 0.1868 0.7003
K12 0.7401 0.8132 0.7003
K13 0.5597 0.2107 0.8355
K14 0.0597 0.7893 0.8355
K15 0.2647 0.3330 0.9680
K16 0.7647 0.6670 0.9680
Nb1 0.5363 0.2575 0.1046
Nb2 0.0363 0.7425 0.1046
Nb3 0.6018 0.2141 0.2941
Nb4 0.1018 0.7859 0.2941
Nb5 0.9637 0.2575 0.6046
Nb6 0.4637 0.7425 0.6046
Nb7 0.8982 0.2141 0.7941
Nb8 0.3982 0.7859 0.7941
O1 0.4148 0.2276 0.0573
O2 0.9148 0.7724 0.0573
O3 0.0852 0.2276 0.5573
O4 0.5852 0.7724 0.5573
S1 0.6490 0.0257 0.0488
S2 0.1490 0.9743 0.0488
S3 0.0634 0.4210 0.1167
S4 0.5634 0.5790 0.1167
S5 0.7278 0.2462 0.1898
S6 0.2278 0.7538 0.1898
S7 0.5040 0.0294 0.2025
S8 0.0040 0.9706 0.2025
S9 0.4888 0.4625 0.2063
S10 0.9888 0.5375 0.2063
S11 0.7428 0.4256 0.2757
S12 0.2428 0.5744 0.2757
S13 0.4300 0.2506 0.3531
S14 0.9300 0.7494 0.3531
S15 0.1737 0.0091 0.3599
S16 0.6737 0.9909 0.3599
S17 0.5444 0.4112 0.3979
S18 0.0444 0.5888 0.3979
S19 0.8404 0.2673 0.4964
S20 0.3404 0.7327 0.4964
S21 0.8510 0.0257 0.5488
S22 0.3510 0.9743 0.5488
S23 0.4366 0.4210 0.6167
S24 0.9366 0.5790 0.6167
S25 0.7722 0.2462 0.6898
S26 0.2722 0.7538 0.6898
S27 0.9960 0.0294 0.7025
S28 0.4960 0.9706 0.7025
S29 0.0112 0.4625 0.7063
S30 0.5112 0.5375 0.7063
S31 0.7572 0.4256 0.7757
S32 0.2572 0.5744 0.7757
S33 0.0700 0.2506 0.8531
S34 0.5700 0.7494 0.8531
S35 0.3263 0.0091 0.8599
S36 0.8263 0.9909 0.8599
S37 0.9556 0.4112 0.8979
S38 0.4556 0.5888 0.8979
S39 0.6596 0.2673 0.9964
S40 0.1596 0.7327 0.9964

## Properties
mass density = 2.53 g/cm3
energy = -5.205 eV per atom
space-group type = No. 29

Entry 10:
Computed, not measured: an optimized crystal structure of K3Nb3Si2O13 at the PBE-GGA level of DFT.

Unit cell a=9.1612 b=9.1612 c=7.8246 alpha=90.00 beta=90.00 gamma=120.00
Fractional coordinates of all 42 atoms:
K1 0.6033 0.0000 0.0000
K2 0.3967 0.3967 0.0000
K3 0.0000 0.6033 0.0000
K4 0.5978 0.0000 0.5000
K5 0.4022 0.4022 0.5000
K6 0.0000 0.5978 0.5000
Nb1 0.7621 0.7621 0.2495
Nb2 0.2379 0.0000 0.2495
Nb3 0.0000 0.2379 0.2495
Nb4 0.2379 0.0000 0.7505
Nb5 0.0000 0.2379 0.7505
Nb6 0.7621 0.7621 0.7505
O1 0.2792 0.0000 0.0000
O2 0.0000 0.2792 0.0000
O3 0.6667 0.3333 0.0000
O4 0.3333 0.6667 0.0000
O5 0.7208 0.7208 0.0000
O6 0.8228 0.0000 0.2271
O7 0.0000 0.8228 0.2271
O8 0.1772 0.1772 0.2271
O9 0.4873 0.1809 0.2763
O10 0.1809 0.4873 0.2763
O11 0.8191 0.3064 0.2763
O12 0.3064 0.8191 0.2763
O13 0.6936 0.5128 0.2764
O14 0.5128 0.6936 0.2764
O15 0.2235 0.0000 0.5000
O16 0.0000 0.2235 0.5000
O17 0.7765 0.7765 0.5000
O18 0.6936 0.5128 0.7236
O19 0.5128 0.6936 0.7236
O20 0.8191 0.3064 0.7237
O21 0.3064 0.8191 0.7237
O22 0.4873 0.1809 0.7237
O23 0.1809 0.4873 0.7237
O24 0.1772 0.1772 0.7729
O25 0.8228 0.0000 0.7729
O26 0.0000 0.8228 0.7729
Si1 0.6667 0.3333 0.2119
Si2 0.3333 0.6667 0.2119
Si3 0.6667 0.3333 0.7881
Si4 0.3333 0.6667 0.7881

## Properties
mass density = 3.86 g/cm3
energy = -7.734 eV per atom
space-group type = No. 189

Entry 11:
Computed, not measured: an optimized crystal structure of K4Nb2Si8O23 at the PBE-GGA level of DFT.

Unit cell a=6.7305 b=10.9655 c=7.6689 alpha=76.09 beta=72.67 gamma=89.26
Fractional coordinates of all 37 atoms:
K1 0.7310 0.5216 0.2303
K2 0.6637 0.8549 0.3107
K3 0.3363 0.1451 0.6893
K4 0.2690 0.4784 0.7697
Nb1 0.2204 0.6854 0.2774
Nb2 0.7796 0.3146 0.7226
O1 0.4583 0.7491 0.0320
O2 0.9921 0.7454 0.1199
O3 0.0948 0.0693 0.1309
O4 0.0924 0.3042 0.1753
O5 0.1961 0.5260 0.1892
O6 0.7416 0.1832 0.2346
O7 0.4217 0.3274 0.2865
O8 0.2486 0.8630 0.2983
O9 0.3813 0.0831 0.3077
O10 0.3907 0.6237 0.4132
O11 0.9491 0.6504 0.4852
O12 0.0000 0.0000 0.5000
O13 0.0509 0.3496 0.5148
O14 0.6093 0.3763 0.5868
O15 0.6187 0.9169 0.6923
O16 0.7514 0.1370 0.7017
O17 0.5783 0.6726 0.7135
O18 0.2584 0.8168 0.7654
O19 0.8039 0.4740 0.8108
O20 0.9076 0.6958 0.8247
O21 0.9052 0.9307 0.8691
O22 0.0079 0.2546 0.8801
O23 0.5417 0.2509 0.9680
Si1 0.9843 0.2049 0.0977
Si2 0.5228 0.2138 0.1876
Si3 0.1870 0.3792 0.2958
Si4 0.1805 0.0012 0.3066
Si5 0.8195 0.9988 0.6934
Si6 0.8130 0.6208 0.7042
Si7 0.4772 0.7862 0.8124
Si8 0.0157 0.7951 0.9023

## Properties
mass density = 2.97 g/cm3
energy = -7.567 eV per atom
space-group type = No. 2

Entry 12:
Computed, not measured: an optimized crystal structure of K3Nb3Si2O13 at the PBE-GGA level of DFT.

Unit cell a=9.1203 b=9.1203 c=7.8892 alpha=90.00 beta=90.00 gamma=120.00
Fractional coordinates of all 42 atoms:
K1 0.4151 0.0306 0.2500
K2 0.9694 0.3844 0.2500
K3 0.6156 0.5849 0.2500
K4 0.0306 0.4151 0.7500
K5 0.5849 0.6156 0.7500
K6 0.3844 0.9694 0.7500
Nb1 0.7611 0.0000 0.0000
Nb2 0.2389 0.2389 0.0000
Nb3 0.0000 0.7611 0.0000
Nb4 0.7611 0.0000 0.5000
Nb5 0.2389 0.2389 0.5000
Nb6 0.0000 0.7611 0.5000
O1 0.1798 0.0000 0.0000
O2 0.0000 0.1798 0.0000
O3 0.8202 0.8202 0.0000
O4 0.6881 0.1779 0.0242
O5 0.4898 0.3119 0.0242
O6 0.8221 0.5102 0.0242
O7 0.2436 0.2603 0.2500
O8 0.3333 0.6667 0.2500
O9 0.0168 0.7564 0.2500
O10 0.7397 0.9832 0.2500
O11 0.6881 0.1779 0.4758
O12 0.4898 0.3119 0.4758
O13 0.8221 0.5102 0.4758
O14 0.1798 0.0000 0.5000
O15 0.0000 0.1798 0.5000
O16 0.8202 0.8202 0.5000
O17 0.3119 0.4898 0.5242
O18 0.1779 0.6881 0.5242
O19 0.5102 0.8221 0.5242
O20 0.7564 0.0168 0.7500
O21 0.2603 0.2436 0.7500
O22 0.6667 0.3333 0.7500
O23 0.9832 0.7397 0.7500
O24 0.3119 0.4898 0.9758
O25 0.1779 0.6881 0.9758
O26 0.5102 0.8221 0.9758
Si1 0.3333 0.6667 0.0428
Si2 0.3333 0.6667 0.4572
Si3 0.6667 0.3333 0.5428
Si4 0.6667 0.3333 0.9572

## Properties
mass density = 3.86 g/cm3
energy = -7.738 eV per atom
space-group type = No. 190

Entry 13:
Computed, not measured: an optimized crystal structure of K2YNbO6 at the PBE-GGA level of DFT.

Unit cell a=5.9724 b=5.9724 c=5.9724 alpha=120.02 beta=120.02 gamma=89.96
Last column: magnetic moment on the atom in μB.
Fractional coordinates of all 10 atoms:
K1 0.7500 0.2500 0.5000  0.00
K2 0.2500 0.7500 0.5000  0.00
Nb1 0.5000 0.5000 0.0000  -0.14
O1 0.2642 0.2642 0.0000  0.30
O2 0.7358 0.7358 0.0000  0.30
O3 0.2708 0.7425 0.0133  0.30
O4 0.7425 0.7292 0.4716  0.30
O5 0.2575 0.2708 0.5284  0.30
O6 0.7292 0.2575 0.9867  0.30
Y1 0.0000 0.0000 0.0000  -0.04

## Properties
mass density = 3.93 g/cm3
energy = -7.051 eV per atom
space-group type = No. 87